1.
{"formula": "ReP2", "functional": "PBE", "state": "optimized geometry", "energy_ev_per_atom": -7.534, "vol_a3_per_atom": 15.384, "magmom_total_mub_per_cell": 0.00, "dos_ef_per_ev_cell": 5.0, "cell": [[2.987, 0.000, 0.000], [0.000, 3.876, 0.000], [0.000, 0.000, 15.945]], "species": ["Re", "Re", "Re", "Re", "P", "P", "P", "P", "P", "P", "P", "P"], "frac_coords": [[0.000, 0.250, 0.155], [0.000, 0.750, 0.845], [0.500, 0.250, 0.345], [0.500, 0.750, 0.655], [0.000, 0.250, 0.461], [0.000, 0.250, 0.676], [0.000, 0.750, 0.324], [0.000, 0.750, 0.539], [0.500, 0.250, 0.039], [0.500, 0.250, 0.824], [0.500, 0.750, 0.176], [0.500, 0.750, 0.961]]}


2.
{"formula": "Re2P", "functional": "PBE", "state": "optimized geometry", "energy_ev_per_atom": -9.566, "vol_a3_per_atom": 16.226, "magmom_total_mub_per_cell": 0.00, "dos_ef_per_ev_cell": 3.0, "cell": [[4.048, 0.000, 0.000], [-2.024, 3.505, 0.000], [0.000, 0.000, 6.862]], "species": ["Re", "Re", "Re", "Re", "P", "P"], "frac_coords": [[0.333, 0.667, 0.066], [0.333, 0.667, 0.434], [0.667, 0.333, 0.566], [0.667, 0.333, 0.934], [0.000, 0.000, 0.250], [0.000, 0.000, 0.750]]}


3.
{"formula": "ReP2", "functional": "PBE", "state": "optimized geometry", "energy_ev_per_atom": -7.613, "vol_a3_per_atom": 14.297, "magmom_total_mub_per_cell": 0.00, "dos_ef_per_ev_cell": 2.3, "cell": [[4.363, 0.000, 0.000], [0.000, 7.354, 0.000], [-1.413, 0.000, 2.673]], "species": ["Re", "Re", "P", "P", "P", "P"], "frac_coords": [[0.000, 0.000, 0.000], [0.500, 0.500, 0.000], [0.099, 0.340, 0.232], [0.099, 0.660, 0.232], [0.599, 0.160, 0.232], [0.599, 0.840, 0.232]]}


4.
{"formula": "Re2P", "functional": "PBE", "state": "optimized geometry", "energy_ev_per_atom": -10.176, "vol_a3_per_atom": 13.744, "magmom_total_mub_per_cell": 0.00, "dos_ef_per_ev_cell": 7.5, "cell": [[2.917, 0.000, 0.000], [0.000, 13.022, 0.000], [0.000, 0.000, 4.342]], "species": ["Re", "Re", "Re", "Re", "Re", "Re", "Re", "Re", "P", "P", "P", "P"], "frac_coords": [[0.000, 0.087, 0.250], [0.000, 0.226, 0.750], [0.000, 0.774, 0.250], [0.000, 0.913, 0.750], [0.500, 0.274, 0.250], [0.500, 0.413, 0.750], [0.500, 0.587, 0.250], [0.500, 0.726, 0.750], [0.000, 0.425, 0.250], [0.000, 0.575, 0.750], [0.500, 0.075, 0.750], [0.500, 0.925, 0.250]]}


5.
{"formula": "ReP2", "functional": "PBE", "state": "optimized geometry", "energy_ev_per_atom": -7.423, "vol_a3_per_atom": 16.546, "magmom_total_mub_per_cell": 0.00, "dos_ef_per_ev_cell": 7.5, "cell": [[-1.701, 1.701, 17.157], [1.701, -1.701, 17.157], [1.701, 1.701, -17.157]], "species": ["Re", "Re", "Re", "Re", "P", "P", "P", "P", "P", "P", "P", "P"], "frac_coords": [[0.283, 0.533, 0.750], [0.467, 0.717, 0.750], [0.533, 0.283, 0.250], [0.717, 0.467, 0.250], [0.045, 0.795, 0.250], [0.089, 0.339, 0.750], [0.205, 0.955, 0.250], [0.339, 0.089, 0.250], [0.661, 0.911, 0.750], [0.795, 0.045, 0.750], [0.911, 0.661, 0.250], [0.955, 0.205, 0.750]]}


6.
{"formula": "ReP2", "functional": "PBE", "state": "optimized geometry", "energy_ev_per_atom": -7.712, "vol_a3_per_atom": 17.203, "magmom_total_mub_per_cell": 0.00, "dos_ef_per_ev_cell": 2.0, "cell": [[3.089, 0.000, 0.000], [-0.696, 4.143, 0.000], [-1.504, -0.768, 4.033]], "species": ["Re", "P", "P"], "frac_coords": [[0.000, 0.000, 0.000], [0.316, 0.111, 0.588], [0.369, 0.563, 0.950]]}


7.
{"formula": "Re2P3", "functional": "PBE", "state": "optimized geometry", "energy_ev_per_atom": -8.285, "vol_a3_per_atom": 14.192, "magmom_total_mub_per_cell": 0.00, "dos_ef_per_ev_cell": 7.8, "cell": [[3.028, 0.000, 0.000], [-1.514, 2.623, 0.000], [0.000, 0.000, 26.805]], "species": ["Re", "Re", "Re", "Re", "Re", "Re", "P", "P", "P", "P", "P", "P", "P", "P", "P"], "frac_coords": [[0.000, 0.000, 0.096], [0.000, 0.000, 0.904], [0.333, 0.667, 0.571], [0.333, 0.667, 0.762], [0.667, 0.333, 0.238], [0.667, 0.333, 0.429], [0.000, 0.000, 0.297], [0.000, 0.000, 0.500], [0.000, 0.000, 0.703], [0.333, 0.667, 0.167], [0.333, 0.667, 0.369], [0.333, 0.667, 0.964], [0.667, 0.333, 0.036], [0.667, 0.333, 0.631], [0.667, 0.333, 0.833]]}


8.
{"formula": "ReP2", "functional": "PBE", "state": "optimized geometry", "energy_ev_per_atom": -6.679, "vol_a3_per_atom": 13.601, "magmom_total_mub_per_cell": 0.00, "dos_ef_per_ev_cell": 6.7, "cell": [[0.000, 3.443, 3.443], [3.443, 0.000, 3.443], [3.443, 3.443, 0.000]], "species": ["Re", "Re", "P", "P", "P", "P"], "frac_coords": [[0.125, 0.125, 0.125], [0.875, 0.875, 0.875], [0.000, 0.500, 0.500], [0.500, 0.000, 0.500], [0.500, 0.500, 0.000], [0.500, 0.500, 0.500]]}


9.
{"formula": "Re2P", "functional": "PBE", "state": "optimized geometry", "energy_ev_per_atom": -10.245, "vol_a3_per_atom": 13.625, "magmom_total_mub_per_cell": 0.00, "dos_ef_per_ev_cell": 3.6, "cell": [[2.904, 0.000, 0.000], [0.000, 2.904, 0.000], [0.000, 0.000, 9.693]], "species": ["Re", "Re", "Re", "Re", "P", "P"], "frac_coords": [[0.000, 0.000, 0.154], [0.000, 0.000, 0.846], [0.500, 0.500, 0.346], [0.500, 0.500, 0.654], [0.000, 0.000, 0.500], [0.500, 0.500, 0.000]]}


10.
{"formula": "ReP2", "functional": "PBE", "state": "optimized geometry", "energy_ev_per_atom": -7.789, "vol_a3_per_atom": 16.692, "magmom_total_mub_per_cell": 0.00, "dos_ef_per_ev_cell": 2.4, "cell": [[3.104, 0.000, 0.000], [1.544, 3.366, 0.000], [1.544, 0.852, 4.792]], "species": ["Re", "P", "P"], "frac_coords": [[0.000, 0.000, 0.000], [0.408, 0.456, 0.730], [0.592, 0.544, 0.270]]}


11.
{"formula": "Re2P", "functional": "PBE", "state": "optimized geometry", "energy_ev_per_atom": -10.084, "vol_a3_per_atom": 17.842, "magmom_total_mub_per_cell": 0.00, "dos_ef_per_ev_cell": 6.9, "cell": [[8.585, -1.453, 0.000], [8.585, 1.453, 0.000], [-6.579, 0.000, 8.581]], "species": ["Re", "Re", "Re", "Re", "Re", "Re", "Re", "Re", "P", "P", "P", "P"], "frac_coords": [[0.004, 0.004, 0.192], [0.219, 0.219, 0.360], [0.340, 0.340, 0.065], [0.406, 0.406, 0.905], [0.594, 0.594, 0.095], [0.660, 0.660, 0.935], [0.781, 0.781, 0.640], [0.996, 0.996, 0.808], [0.245, 0.245, 0.166], [0.379, 0.379, 0.596], [0.621, 0.621, 0.404], [0.755, 0.755, 0.834]]}


12.
{"formula": "ReP2", "functional": "PBE", "state": "optimized geometry", "energy_ev_per_atom": -7.686, "vol_a3_per_atom": 16.994, "magmom_total_mub_per_cell": 0.00, "dos_ef_per_ev_cell": 4.6, "cell": [[5.946, 0.000, 0.000], [0.000, 7.770, 0.000], [0.000, 0.000, 4.414]], "species": ["Re", "Re", "Re", "Re", "P", "P", "P", "P", "P", "P", "P", "P"], "frac_coords": [[0.000, 0.124, 0.250], [0.000, 0.876, 0.750], [0.500, 0.376, 0.750], [0.500, 0.624, 0.250], [0.197, 0.165, 0.750], [0.197, 0.835, 0.250], [0.303, 0.335, 0.250], [0.303, 0.665, 0.750], [0.697, 0.335, 0.250], [0.697, 0.665, 0.750], [0.803, 0.165, 0.750], [0.803, 0.835, 0.250]]}